LaYAg2 | Alexandria via LeMat-Bulk | PBE-GGA | relaxed; calculated volume = 28.20 Å³ per atom; formation energy = 77 meV per atom
1.0
-4.0886 4.0886 3.3737
4.0886 -4.0886 3.3737
4.0886 4.0886 -3.3737
La Y Ag
2 2 4
Cartesian
0.0000 0.0000 0.0000 La
0.0000 4.0886 1.6869 La
4.0886 0.0000 1.6869 Y
0.0000 0.0000 3.3737 Y
2.0443 -1.9252 2.5303 Ag
2.1634 2.0443 0.8434 Ag
2.0443 6.0137 -0.8434 Ag
1.9252 2.0443 4.2172 Ag